Entry 1:
Material: Mg2HgPt
Method: DFT, GGA-PBE
State: optimized geometry

Cell: 6.636 6.636 6.636 Å, 90.00 90.00 90.00°
Space group F-43m (No. 216)
Inequivalent atoms, fractional coordinates:
Mg (0.000, 0.000, 0.000)
Mg (0.250, 0.250, 0.250)
Hg (0.250, 0.250, 0.750)
Pt (0.000, 0.000, 0.500)


Entry 2:
Material: Mg8Hg3Pt2
Method: DFT, GGA-PBE
State: optimized geometry

Cell: 9.004 13.608 4.620 Å, 90.00 90.00 90.00°
Space group Cmmm (No. 65)
Inequivalent atoms, fractional coordinates:
Mg (0.000, 0.140, 0.000)
Mg (0.000, 0.355, 0.000)
Mg (0.240, 0.361, 0.500)
Hg (0.000, 0.000, 0.500)
Hg (0.236, 0.500, 0.000)
Pt (0.000, 0.244, 0.500)


Entry 3:
Material: Mg2HgPt
Method: DFT, GGA-PBE
State: optimized geometry

Cell: 3.1047 3.1047 28.0831 Å, 90.00 90.00 120.00°
Space group R-3m (No. 166, hexagonal axes)
Inequivalent atoms, fractional coordinates:
Mg (0.0000, 0.0000, 0.2391)
Hg (0.0000, 0.0000, 0.0000)
Pt (0.0000, 0.0000, 0.5000)


Entry 4:
Material: MgHg2Pt
Method: DFT, GGA-PBE
State: optimized geometry

Cell: 3.163 3.925 6.878 Å, 90.00 102.14 90.00°
Space group Pm (No. 6)
Inequivalent atoms, fractional coordinates:
Mg (0.000, 0.000, 0.000)
Hg (0.364, 0.500, 0.712)
Hg (0.710, 0.000, 0.437)
Pt (0.561, 0.500, 0.134)


Entry 5:
Material: Mg5HgPt4
Method: DFT, GGA-PBE
State: optimized geometry

Cell: 3.227 3.227 16.302 Å, 90.00 90.00 90.00°
Space group P4/mmm (No. 123)
Inequivalent atoms, fractional coordinates:
Mg (0.000, 0.000, 0.000)
Mg (0.000, 0.000, 0.188)
Mg (0.000, 0.000, 0.376)
Hg (0.500, 0.500, 0.500)
Pt (0.500, 0.500, 0.094)
Pt (0.500, 0.500, 0.284)


Entry 6:
Material: Mg4HgPt3
Method: DFT, GGA-PBE
State: optimized geometry

Cell: 3.388 4.471 8.955 Å, 90.00 90.00 90.00°
Space group Pmmm (No. 47)
Inequivalent atoms, fractional coordinates:
Mg (0.000, 0.000, 0.000)
Mg (0.000, 0.000, 0.500)
Mg (0.000, 0.500, 0.235)
Hg (0.500, 0.500, 0.500)
Pt (0.500, 0.000, 0.247)
Pt (0.500, 0.500, 0.000)


Entry 7:
Material: Mg3Hg3Pt
Method: DFT, GGA-PBE
State: optimized geometry

Cell: 10.952 10.952 10.952 Å, 90.00 90.00 90.00°
Space group I4_132 (No. 214)
Inequivalent atoms, fractional coordinates:
Mg (0.111, 0.361, 0.125)
Hg (0.097, 0.153, 0.625)
Pt (0.125, 0.125, 0.125)


Entry 8:
Material: Mg4HgPt
Method: DFT, GGA-PBE
State: optimized geometry

Cell: 7.886 4.559 8.038 Å, 90.00 109.22 90.00°
Space group C2/m (No. 12)
Inequivalent atoms, fractional coordinates:
Mg (0.116, 0.000, 0.349)
Mg (0.132, 0.500, 0.898)
Hg (0.000, 0.500, 0.500)
Pt (0.000, 0.000, 0.000)


Entry 9:
Material: Mg2HgPt
Method: DFT, GGA-PBE
State: optimized geometry

Cell: 6.473 6.507 3.428 Å, 90.00 90.00 90.00°
Space group Cmmm (No. 65)
Inequivalent atoms, fractional coordinates:
Mg (0.250, 0.250, 0.000)
Hg (0.000, 0.000, 0.500)
Pt (0.000, 0.500, 0.500)


Entry 10:
Material: Mg2HgPt
Method: DFT, GGA-PBE
State: optimized geometry

Cell: 4.4341 4.4341 14.4674 Å, 90.00 90.00 120.00°
Space group R3m (No. 160, hexagonal axes)
Inequivalent atoms, fractional coordinates:
Mg (0.0000, 0.0000, 0.0000)
Mg (0.0000, 0.0000, 0.2194)
Hg (0.0000, 0.0000, 0.7860)
Pt (0.0000, 0.0000, 0.5891)


Entry 11:
Material: Mg2HgPt
Method: DFT, GGA-PBE
State: optimized geometry

Cell: 3.090 3.311 7.287 Å, 90.00 90.17 90.00°
Space group P2/m (No. 10)
Inequivalent atoms, fractional coordinates:
Mg (0.001, 0.000, 0.213)
Hg (0.500, 0.500, 0.500)
Pt (0.500, 0.500, 0.000)


Entry 12:
Material: Mg2HgPt
Method: DFT, GGA-PBE
State: optimized geometry

Cell: 7.369 3.038 7.559 Å, 90.00 101.00 90.00°
Space group C2/m (No. 12)
Inequivalent atoms, fractional coordinates:
Mg (0.249, 0.000, 0.291)
Hg (0.000, 0.500, 0.000)
Pt (0.000, 0.000, 0.500)


| no. | formation energy (eV/f.u.) | magnetization (μB/atom) |
| --- | --- | --- |
| 1 | -1.480 | 0.0000 |
| 2 | -5.156 | 0.0000 |
| 3 | -1.241 | 0.0000 |
| 4 | -0.977 | 0.0000 |
| 5 | -7.332 | 0.0000 |
| 6 | -5.406 | 0.0000 |
| 7 | -1.619 | 0.0000 |
| 8 | -2.325 | 0.0000 |
| 9 | -2.013 | 0.0000 |
| 10 | -1.558 | 0.0000 |
| 11 | -2.254 | 0.0000 |
| 12 | -1.383 | 0.0000 |